An optimized crystal structure of BaMnNF2, computed with PBE+U.

```
data_BaMnNF2
_chemical_formula_sum 'Ba1 Mn1 N1 F2'
_symmetry_space_group_name_H-M 'P 1'
_symmetry_Int_Tables_number 1
_symmetry_space_group_name_Hall 'P 1'
_cell_length_a 4.898
_cell_length_b 4.898
_cell_length_c 4.943
_cell_angle_alpha 90.00
_cell_angle_beta 90.00
_cell_angle_gamma 90.00
loop_
_atom_site_label
_atom_site_type_symbol
_atom_site_fract_x
_atom_site_fract_y
_atom_site_fract_z
_atom_site_occupancy
Ba1 Ba 0.000 0.000 0.000 1
Mn1 Mn 0.500 0.500 0.500 1
N1 N 0.000 0.000 0.500 1
F1 F 0.000 0.500 0.000 1
F2 F 0.500 0.000 0.000 1
```

Output
- M_tot (μB/cell) = 5.02
- density (g/cm³) = 3.4
- DOS(E_F) (states/eV per atom) = 0.2513
- calculated volume (Å³ per cell) = 118.62
- uncorrected energy (eV for the cell shown) = -25.2